Compound: Y2Zn3
Source: Alexandria
Functional: PBE
Structure: relaxed

Lattice parameters (Å, degrees): 10.583 10.583 4.978 90.00 90.00 156.82
Positions (direct):
Y 0.120 0.880 0.750
Y 0.233 0.767 0.250
Y 0.767 0.233 0.750
Y 0.880 0.120 0.250
Zn 0.042 0.958 0.250
Zn 0.374 0.626 0.750
Zn 0.477 0.523 0.250
Zn 0.523 0.477 0.750
Zn 0.626 0.374 0.250
Zn 0.958 0.042 0.750

Values from the calculation:
Density of states at the Fermi level = 0.598 states/eV per atom
Formation energy from the elements = -132 meV per atom
Energy = -0.1280 hartree per atom